Record 1
Computed, not measured: AcU2S8 after structural relaxation at the PBE level of DFT.

Cell lengths 7.302, 7.302, 5.034 Å; angles 93.65, 93.65, 114.25 degrees
Fractional coordinates of all 11 atoms:
Ac 0.000 0.000 0.000
U 0.302 0.698 0.500
U 0.698 0.302 0.500
S 0.076 0.322 0.557
S 0.251 0.749 0.000
S 0.322 0.076 0.557
S 0.428 0.428 0.163
S 0.572 0.572 0.837
S 0.678 0.924 0.443
S 0.749 0.251 0.000
S 0.924 0.678 0.443

V: 22.1 A^3/atom
Total magnetization: 1.034 μB per formula unit
Space group: C2/m, No. 12
ΔE_f (raw): -1.237 eV/atom

***

Record 2
Computed, not measured: Ac3US6 after structural relaxation at the PBE level of DFT.

Cell lengths 8.528, 8.528, 8.528 Å; angles 98.27, 98.27, 98.27 degrees
Fractional coordinates of all 20 atoms:
Ac 0.113 0.786 0.609
Ac 0.214 0.391 0.887
Ac 0.391 0.887 0.214
Ac 0.609 0.113 0.786
Ac 0.786 0.609 0.113
Ac 0.887 0.214 0.391
U 0.000 0.000 0.000
U 0.500 0.500 0.500
S 0.068 0.693 0.930
S 0.070 0.932 0.307
S 0.186 0.439 0.549
S 0.307 0.070 0.932
S 0.439 0.549 0.186
S 0.451 0.814 0.561
S 0.549 0.186 0.439
S 0.561 0.451 0.814
S 0.693 0.930 0.068
S 0.814 0.561 0.451
S 0.930 0.068 0.693
S 0.932 0.307 0.070

V: 29.9 A^3/atom
Total magnetization: 3.017 μB per formula unit
Space group: R-3, No. 148
ΔE_f (raw): -1.909 eV/atom

***

Record 3
Computed, not measured: AcU2S4 after structural relaxation at the PBE level of DFT.

Cell lengths 6.730, 6.730, 13.327 Å; angles 90.00, 90.00, 145.23 degrees
Fractional coordinates of all 14 atoms:
Ac 0.116 0.884 0.750
Ac 0.884 0.116 0.250
U 0.369 0.631 0.559
U 0.369 0.631 0.941
U 0.631 0.369 0.059
U 0.631 0.369 0.441
S 0.000 0.000 0.000
S 0.000 0.000 0.500
S 0.266 0.734 0.121
S 0.266 0.734 0.379
S 0.444 0.556 0.750
S 0.556 0.444 0.250
S 0.734 0.266 0.621
S 0.734 0.266 0.879

V: 24.6 A^3/atom
Total magnetization: 6.283 μB per formula unit
Space group: Cmcm, No. 63
ΔE_f (raw): -1.588 eV/atom

***

Record 4
Computed, not measured: AcU2S6 after structural relaxation at the PBE level of DFT.

Cell lengths 7.250, 7.250, 9.238 Å; angles 122.50, 122.50, 41.91 degrees
Fractional coordinates of all 9 atoms:
Ac 0.000 0.000 0.000
U 0.179 0.179 0.599
U 0.821 0.821 0.401
S 0.034 0.034 0.705
S 0.266 0.266 0.393
S 0.355 0.355 0.919
S 0.645 0.645 0.081
S 0.734 0.734 0.607
S 0.966 0.966 0.295

V: 29.5 A^3/atom
Total magnetization: 3.000 μB per formula unit
Space group: C2/m, No. 12
ΔE_f (raw): -1.515 eV/atom

***

Record 5
Computed, not measured: AcUS4 after structural relaxation at the PBE level of DFT.

Cell lengths 7.996, 7.996, 6.959 Å; angles 108.21, 108.21, 50.08 degrees
Fractional coordinates of all 12 atoms:
Ac 0.216 0.784 0.750
Ac 0.784 0.216 0.250
U 0.000 0.500 0.000
U 0.500 0.000 0.500
S 0.113 0.195 0.648
S 0.195 0.113 0.148
S 0.334 0.461 0.007
S 0.461 0.334 0.507
S 0.539 0.666 0.493
S 0.666 0.539 0.993
S 0.805 0.887 0.852
S 0.887 0.805 0.352

V: 26.7 A^3/atom
Total magnetization: 1.001 μB per formula unit
Polymorph energy (0 for the lowest one): 0.000 eV/atom
Space group: C2/c, No. 15
ΔE_f (raw): -1.582 eV/atom

***

Record 6
Computed, not measured: AcUS4 after structural relaxation at the PBE level of DFT.

Cell lengths 6.521, 6.521, 4.275 Å; angles 90.00, 90.00, 91.04 degrees
Fractional coordinates of all 6 atoms:
Ac 0.000 0.000 0.000
U 0.500 0.500 0.500
S 0.218 0.218 0.500
S 0.325 0.675 0.000
S 0.675 0.325 0.000
S 0.782 0.782 0.500

V: 30.3 A^3/atom
Total magnetization: 1.000 μB per formula unit
Polymorph energy (0 for the lowest one): 0.050 eV/atom
Space group: Cmmm, No. 65
ΔE_f (raw): -1.532 eV/atom

***

Record 7
Computed, not measured: Ac2US4 after structural relaxation at the PBE level of DFT.

Cell lengths 8.349, 8.349, 8.349 Å; angles 144.21, 144.21, 51.51 degrees
Fractional coordinates of all 7 atoms:
Ac 0.130 0.130 0.000
Ac 0.870 0.870 0.000
U 0.500 0.500 0.000
S 0.000 0.500 0.500
S 0.319 0.319 0.000
S 0.500 0.000 0.500
S 0.681 0.681 0.000

V: 28.3 A^3/atom
Total magnetization: 3.510 μB per formula unit
Space group: I4/mmm, No. 139
ΔE_f (raw): -1.595 eV/atom

***

Record 8
Computed, not measured: Ac2US5 after structural relaxation at the PBE level of DFT.

Cell lengths 12.273, 8.455, 7.724 Å; angles 90.00, 90.00, 90.00 degrees
Fractional coordinates of all 32 atoms:
Ac 0.173 0.002 0.038
Ac 0.173 0.498 0.038
Ac 0.327 0.502 0.538
Ac 0.327 0.998 0.538
Ac 0.673 0.002 0.462
Ac 0.673 0.498 0.462
Ac 0.827 0.502 0.962
Ac 0.827 0.998 0.962
U 0.006 0.250 0.558
U 0.494 0.750 0.058
U 0.506 0.250 0.942
U 0.994 0.750 0.442
S 0.003 0.250 0.944
S 0.087 0.534 0.664
S 0.087 0.966 0.664
S 0.188 0.250 0.344
S 0.210 0.750 0.322
S 0.290 0.250 0.822
S 0.312 0.750 0.844
S 0.413 0.034 0.164
S 0.413 0.466 0.164
S 0.497 0.750 0.444
S 0.503 0.250 0.556
S 0.587 0.534 0.836
S 0.587 0.966 0.836
S 0.688 0.250 0.156
S 0.710 0.750 0.178
S 0.790 0.250 0.678
S 0.812 0.750 0.656
S 0.913 0.034 0.336
S 0.913 0.466 0.336
S 0.997 0.750 0.056

V: 25.0 A^3/atom
Total magnetization: 2.001 μB per formula unit
Polymorph energy (0 for the lowest one): 0.000 eV/atom
Space group: Pnma, No. 62
ΔE_f (raw): -1.930 eV/atom

***

Record 9
Computed, not measured: Ac2US6 after structural relaxation at the PBE level of DFT.

Cell lengths 6.728, 7.806, 11.285 Å; angles 90.00, 123.69, 90.00 degrees
Fractional coordinates of all 18 atoms:
Ac 0.221 0.101 0.254
Ac 0.221 0.399 0.754
Ac 0.779 0.601 0.246
Ac 0.779 0.899 0.746
U 0.500 0.000 0.000
U 0.500 0.500 0.500
S 0.131 0.163 0.949
S 0.131 0.337 0.449
S 0.288 0.707 0.944
S 0.288 0.793 0.444
S 0.353 0.032 0.742
S 0.353 0.468 0.242
S 0.647 0.532 0.758
S 0.647 0.968 0.258
S 0.712 0.207 0.556
S 0.712 0.293 0.056
S 0.869 0.663 0.551
S 0.869 0.837 0.051

V: 27.4 A^3/atom
Total magnetization: 0.000 μB per formula unit
Space group: P2_1/c, No. 14
ΔE_f (raw): -1.737 eV/atom

***

Record 10
Computed, not measured: AcUS3 after structural relaxation at the PBE level of DFT.

Cell lengths 4.128, 6.634, 8.999 Å; angles 90.00, 90.00, 90.00 degrees
Fractional coordinates of all 10 atoms:
Ac 0.250 0.250 0.149
Ac 0.750 0.750 0.851
U 0.250 0.750 0.407
U 0.750 0.250 0.593
S 0.250 0.514 0.662
S 0.250 0.750 0.085
S 0.250 0.986 0.662
S 0.750 0.014 0.338
S 0.750 0.250 0.915
S 0.750 0.486 0.338

V: 24.6 A^3/atom
Total magnetization: 2.767 μB per formula unit
Space group: Pmmn, No. 59
ΔE_f (raw): -1.759 eV/atom

***

Record 11
Computed, not measured: AcUS2 after structural relaxation at the PBE level of DFT.

Cell lengths 3.543, 3.543, 7.174 Å; angles 90.00, 90.00, 90.00 degrees
Fractional coordinates of all 4 atoms:
Ac 0.000 0.000 0.000
U 0.000 0.000 0.500
S 0.500 0.500 0.270
S 0.500 0.500 0.730

V: 22.5 A^3/atom
Total magnetization: 3.640 μB per formula unit
Polymorph energy (0 for the lowest one): 0.360 eV/atom
Space group: P4/mmm, No. 123
ΔE_f (raw): -1.245 eV/atom

***

Record 12
Computed, not measured: AcU2S7 after structural relaxation at the PBE level of DFT.

Cell lengths 7.472, 7.472, 5.027 Å; angles 90.00, 90.00, 113.41 degrees
Fractional coordinates of all 10 atoms:
Ac 0.000 0.000 0.000
U 0.296 0.704 0.500
U 0.704 0.296 0.500
S 0.067 0.313 0.500
S 0.265 0.735 0.000
S 0.313 0.067 0.500
S 0.500 0.500 0.500
S 0.687 0.933 0.500
S 0.735 0.265 0.000
S 0.933 0.687 0.500

V: 25.8 A^3/atom
Total magnetization: 1.128 μB per formula unit
Space group: Cmmm, No. 65
ΔE_f (raw): -1.286 eV/atom

***

Record 13
Computed, not measured: Ac2UVS6 after structural relaxation at the PBE level of DFT.

Cell lengths 6.854, 6.854, 6.854 Å; angles 63.29, 63.29, 63.29 degrees
Fractional coordinates of all 10 atoms:
Ac 0.230 0.230 0.230
Ac 0.770 0.770 0.770
U 0.500 0.500 0.500
V 0.000 0.000 0.000
S 0.151 0.329 0.769
S 0.231 0.849 0.671
S 0.329 0.769 0.151
S 0.671 0.231 0.849
S 0.769 0.151 0.329
S 0.849 0.671 0.231

V: 24.4 A^3/atom
Total magnetization: 5.008 μB per formula unit
Space group: R-3, No. 148
ΔE_f (raw): -1.629 eV/atom

***

Record 14
Computed, not measured: AcY2US8 after structural relaxation at the PBE level of DFT.

Cell lengths 6.011, 6.127, 8.655 Å; angles 90.02, 90.11, 90.50 degrees
Fractional coordinates of all 12 atoms:
Ac 0.000 0.000 0.000
Y 0.499 0.500 0.737
Y 0.501 0.500 0.263
U 0.000 0.000 0.500
S 0.238 0.455 0.000
S 0.243 0.350 0.499
S 0.250 0.873 0.281
S 0.251 0.874 0.719
S 0.749 0.126 0.281
S 0.750 0.127 0.719
S 0.757 0.650 0.501
S 0.762 0.545 0.000

V: 26.6 A^3/atom
Total magnetization: 0.001 μB per formula unit
Space group: P-1, No. 2
ΔE_f (raw): -1.528 eV/atom

***

Record 15
Computed, not measured: Ac2VS5 after structural relaxation at the PBE level of DFT.

Cell lengths 11.702, 9.021, 8.848 Å; angles 90.00, 109.44, 90.00 degrees
Fractional coordinates of all 32 atoms:
Ac 0.036 0.119 0.240
Ac 0.036 0.381 0.740
Ac 0.402 0.169 0.101
Ac 0.402 0.331 0.601
Ac 0.598 0.669 0.399
Ac 0.598 0.831 0.899
Ac 0.964 0.619 0.260
Ac 0.964 0.881 0.760
V 0.295 0.588 0.046
V 0.295 0.912 0.546
V 0.705 0.088 0.454
V 0.705 0.412 0.954
S 0.099 0.636 0.989
S 0.099 0.864 0.489
S 0.126 0.119 0.957
S 0.126 0.381 0.457
S 0.308 0.073 0.363
S 0.308 0.427 0.863
S 0.366 0.038 0.768
S 0.366 0.462 0.268
S 0.404 0.713 0.574
S 0.404 0.787 0.074
S 0.596 0.213 0.926
S 0.596 0.287 0.426
S 0.634 0.538 0.732
S 0.634 0.962 0.232
S 0.692 0.573 0.137
S 0.692 0.927 0.637
S 0.874 0.619 0.543
S 0.874 0.881 0.043
S 0.901 0.136 0.511
S 0.901 0.364 0.011

V: 27.5 A^3/atom
Total magnetization: 1.000 μB per formula unit
Polymorph energy (0 for the lowest one): 0.000 eV/atom
Space group: P2_1/c, No. 14
ΔE_f (raw): -1.635 eV/atom

***

Record 16
Computed, not measured: AcVS3 after structural relaxation at the PBE level of DFT.

Cell lengths 4.678, 4.678, 4.678 Å; angles 90.00, 90.00, 90.00 degrees
Fractional coordinates of all 5 atoms:
Ac 0.000 0.000 0.000
V 0.500 0.500 0.500
S 0.000 0.500 0.500
S 0.500 0.000 0.500
S 0.500 0.500 0.000

V: 20.5 A^3/atom
Total magnetization: 0.521 μB per formula unit
Polymorph energy (0 for the lowest one): 0.080 eV/atom
Space group: Pm-3m, No. 221
ΔE_f (raw): -1.381 eV/atom

***

Record 17
Computed, not measured: AcVS3 after structural relaxation at the PBE level of DFT.

Cell lengths 10.234, 10.234, 4.654 Å; angles 90.00, 90.00, 153.45 degrees
Fractional coordinates of all 10 atoms:
Ac 0.161 0.839 0.750
Ac 0.839 0.161 0.250
V 0.446 0.554 0.750
V 0.554 0.446 0.250
S 0.066 0.934 0.250
S 0.310 0.690 0.750
S 0.435 0.565 0.250
S 0.565 0.435 0.750
S 0.690 0.310 0.250
S 0.934 0.066 0.750

V: 21.8 A^3/atom
Total magnetization: 1.392 μB per formula unit
Polymorph energy (0 for the lowest one): 0.000 eV/atom
Space group: Cmcm, No. 63
ΔE_f (raw): -1.461 eV/atom

***

Record 18
Computed, not measured: Ac2VS5 after structural relaxation at the PBE level of DFT.

Cell lengths 6.360, 6.360, 6.360 Å; angles 114.03, 114.03, 100.69 degrees
Fractional coordinates of all 8 atoms:
Ac 0.000 0.500 0.500
Ac 0.500 0.000 0.500
V 0.314 0.314 0.000
S 0.016 0.016 0.532
S 0.016 0.484 0.000
S 0.484 0.016 0.000
S 0.484 0.484 0.468
S 0.567 0.567 0.000

V: 24.3 A^3/atom
Total magnetization: 0.962 μB per formula unit
Polymorph energy (0 for the lowest one): 0.061 eV/atom
Space group: I4mm, No. 107
ΔE_f (raw): -1.574 eV/atom

***

Record 19
Computed, not measured: AcVS2 after structural relaxation at the PBE level of DFT.

Cell lengths 6.563, 6.563, 6.563 Å; angles 35.16, 35.16, 35.16 degrees
Fractional coordinates of all 4 atoms:
Ac 0.000 0.000 0.000
V 0.500 0.500 0.500
S 0.229 0.229 0.229
S 0.771 0.771 0.771

V: 20.9 A^3/atom
Total magnetization: 2.029 μB per formula unit
Space group: R-3m, No. 166
ΔE_f (raw): -1.271 eV/atom

***

Record 20
Computed, not measured: Ac2ZrVS6 after structural relaxation at the PBE level of DFT.

Cell lengths 6.782, 9.747, 7.073 Å; angles 90.00, 90.00, 90.00 degrees
Fractional coordinates of all 20 atoms:
Ac 0.250 0.033 0.201
Ac 0.250 0.467 0.201
Ac 0.750 0.533 0.799
Ac 0.750 0.967 0.799
Zr 0.250 0.250 0.713
Zr 0.750 0.750 0.287
V 0.250 0.750 0.772
V 0.750 0.250 0.228
S 0.006 0.250 0.454
S 0.008 0.750 0.021
S 0.250 0.505 0.774
S 0.250 0.995 0.774
S 0.492 0.750 0.021
S 0.494 0.250 0.454
S 0.506 0.750 0.546
S 0.508 0.250 0.979
S 0.750 0.005 0.226
S 0.750 0.495 0.226
S 0.992 0.250 0.979
S 0.994 0.750 0.546

V: 23.4 A^3/atom
Total magnetization: 2.612 μB per formula unit
Space group: Pmmn, No. 59
ΔE_f (raw): -1.585 eV/atom

***

The calculation returns the following DFT total energy values, one per record and in order: -6.66; -6.75; -7.76; -7.23; -6.90; -6.85; -6.74; -6.95; -6.66; -7.31; -7.16; -6.84; -6.97; -6.64; -6.38; -6.50; -6.58; -6.32; -6.64; -6.65 eV per atom.